(1)
Here is a relaxed structure of TmTcTe from OQMD via LeMat-Bulk. Energies are from PBE-GGA.

Cell: 4.6645 4.6645 4.6645 Å, 60.00 60.00 60.00°
Sites, in units of the cell vectors:
Tm  0.0000  0.0000  0.0000
Tc  0.5000  0.5000  0.5000
Te  0.7500  0.7500  0.7500

Output
Distance to the lowest polymorph of the same formula   0 meV per atom

---

(2)
Here is a relaxed structure of TcNiAsPd from OQMD via LeMat-Bulk. Energies are from PBE-GGA.

Cell: 4.2951 4.2951 4.2951 Å, 60.00 60.00 60.00°
Sites, in units of the cell vectors:
Tc  0.0000  0.0000  0.0000
Ni  0.5000  0.5000  0.5000
As  0.2500  0.2500  0.2500
Pd  0.7500  0.7500  0.7500

Output
Distance to the lowest polymorph of the same formula   0 meV per atom

---

(3)
Here is a relaxed structure of HfZr2As4Pd4 from OQMD via LeMat-Bulk. Energies are from PBE-GGA.

Cell: 6.6115 3.9388 7.7421 Å, 90.00 90.47 90.00°
Sites, in units of the cell vectors:
Hf  0.0000  0.0000  0.0000
Zr  0.4947  0.0000  0.1318
Zr  0.5725  0.5000  0.5073
As  0.2703  0.5000  0.9355
As  0.2860  0.0000  0.4464
As  0.7859  0.5000  0.1921
As  0.8160  0.0000  0.6951
Pd  0.1830  0.5000  0.2593
Pd  0.4022  0.0000  0.7574
Pd  0.6792  0.5000  0.8773
Pd  0.8919  0.0000  0.3812

Output
Distance to the lowest polymorph of the same formula   3 meV per atom

---

(4)
Here is a relaxed structure of Li4GaHg2Ge from OQMD via LeMat-Bulk. Energies are from PBE-GGA.

Cell: 4.5510 4.5510 6.4723 Å, 90.00 90.00 90.00°
Sites, in units of the cell vectors:
Li  0.0000  0.0000  0.0000
Li  0.0000  0.5000  0.7485
Li  0.5000  0.0000  0.2515
Li  0.5000  0.5000  0.5000
Ga  0.5000  0.5000  0.0000
Hg  0.0000  0.5000  0.2418
Hg  0.5000  0.0000  0.7582
Ge  0.0000  0.0000  0.5000

---

(5)
Here is a relaxed structure of NdCdInSe3 from OQMD via LeMat-Bulk. Energies are from PBE-GGA.

Cell: 8.2368 4.3142 10.6804 Å, 90.00 105.69 90.00°
Sites, in units of the cell vectors:
Nd  0.2001  0.2500  0.1321
Nd  0.7999  0.7500  0.8679
Cd  0.4266  0.7500  0.3874
Cd  0.5734  0.2500  0.6126
In  0.2296  0.7500  0.7208
In  0.7704  0.2500  0.2792
Se  0.0454  0.2500  0.8527
Se  0.2554  0.2500  0.4363
Se  0.4521  0.7500  0.1459
Se  0.5479  0.2500  0.8541
Se  0.7446  0.7500  0.5637
Se  0.9546  0.7500  0.1473

Output
Distance to the lowest polymorph of the same formula   11 meV per atom

---

(6)
Here is a relaxed structure of LuScAg2Sn2 from OQMD via LeMat-Bulk. Energies are from PBE-GGA.

Cell: 4.6498 4.6498 7.1016 Å, 90.00 90.00 120.00°
Sites, in units of the cell vectors:
Lu  0.0000  0.0000  0.0000
Sc  0.0000  0.0000  0.5003
Ag  0.3333  0.6667  0.6843
Ag  0.6667  0.3333  0.1889
Sn  0.3333  0.6667  0.2839
Sn  0.6667  0.3333  0.7743

---

(7)
Here is a relaxed structure of TmNbN2O from OQMD via LeMat-Bulk. Energies are from PBE-GGA.

Cell: 5.5136 5.5136 5.5897 Å, 119.30 119.30 90.38°
Sites, in units of the cell vectors:
Tm  0.2247  0.2247  0.4917
Tm  0.7753  0.7753  0.5083
Nb  0.0000  0.5000  0.0000
Nb  0.5000  0.0000  0.0000
N  0.1954  0.8046  0.5000
N  0.3697  0.3697  0.0837
N  0.6303  0.6303  0.9163
N  0.8046  0.1954  0.5000
O  0.1647  0.8353  0.0000
O  0.8353  0.1647  0.0000

---

(8)
Here is a relaxed structure of NiGeB from OQMD via LeMat-Bulk. Energies are from PBE-GGA.

Cell: 3.6250 3.6250 3.6250 Å, 60.00 60.00 60.00°
Sites, in units of the cell vectors:
Ni  0.0000  0.0000  0.0000
Ge  0.5000  0.5000  0.5000
B  0.7500  0.7500  0.7500

Output
Distance to the lowest polymorph of the same formula   0 meV per atom

---

| no. | total DFT energy (no corrections) (eV/cell) |
| --- | --- |
| 1 | -17.64 |
| 2 | -25.65 |
| 3 | -75.58 |
| 4 | -18.43 |
| 5 | -49.73 |
| 6 | -27.47 |
| 7 | -89.22 |
| 8 | -16.22 |